! MgFeNi2Te GGA-PBE relaxed; values from VASP
&SYSTEM
  ibrav = 0, nat = 5, ntyp = 4
/
ATOMIC_SPECIES
Mg 24.30 Mg.upf
Ni 58.69 Ni.upf
Fe 55.84 Fe.upf
Te 127.60 Te.upf
ATOMIC_POSITIONS crystal
Mg 0.000 0.500 0.000
Ni 0.000 0.000 0.500
Ni 0.500 0.000 0.000
Fe 0.500 0.500 0.500
Te 0.000 0.000 0.000
CELL_PARAMETERS angstrom
4.629 0.000 0.000
0.000 5.286 0.000
0.000 0.000 4.629
! * E_form (uncorrected): 1.013 eV per atom
! * M_tot: 3.7 μB/f.u.